Sb2RuAuF: relaxed, PBE-GGA.

Cell and atoms, written as POSCAR:
```
Sb2RuAuF
1.0
-3.2227 -2.1120 2.6215
-2.1506 -1.5311 -3.8774
2.6015 -3.8658 0.0836
Au F Sb Ru
1 1 2 1
Direct
0.0000 0.5000 0.0000
0.0000 0.0000 0.0000
0.5000 0.0000 0.0000
0.0000 0.0000 0.5000
0.5000 0.5000 0.5000
```

Results
The density of states at the Fermi level comes out at 4.90 states/eV/cell. The total DFT energy (no corrections) comes out at -4.07 eV/atom. Its space-group type is No. 123.

SrAl2TlBr8: relaxed, PBE-GGA.

Cell and atoms, written as POSCAR:
```
SrAl2TlBr8
1.0
-0.5453 5.4569 -4.4634
-2.6020 -6.3209 -1.8093
-9.4770 2.6444 4.3908
Br Al Tl Sr
8 2 1 1
Direct
0.3333 0.6667 0.9581
0.6351 0.6409 0.6687
0.3649 0.3591 0.3313
0.6409 0.0058 0.3313
0.9942 0.6351 0.3313
0.0058 0.3649 0.6687
0.3591 0.9942 0.6687
0.6667 0.3333 0.0419
0.3333 0.6667 0.7441
0.6667 0.3333 0.2559
0.0000 0.0000 0.0000
0.0000 0.0000 0.5000
```

Results
The density of states at the Fermi level comes out at 5.77 states/eV/cell. The total DFT energy (no corrections) comes out at -3.21 eV/atom. Its space-group type is No. 147.

NpFeGeH: relaxed, PBE-GGA.

Cell and atoms, written as POSCAR:
```
NpFeGeH
1.0
-0.7892 1.0723 4.0123
-0.4221 -4.0218 -1.2351
3.4034 -0.6131 0.8333
Np H Ge Fe
1 1 1 1
Direct
0.5720 0.1439 0.3098
0.2387 0.4773 0.3097
0.9052 0.8104 0.8098
0.2385 0.4770 0.8098
```

Results
The density of states at the Fermi level comes out at 4.66 states/eV/cell. The total DFT energy (no corrections) comes out at -7.60 eV/atom. Its space-group type is No. 187.

BaHf2SiH: relaxed, PBE-GGA.

Cell and atoms, written as POSCAR:
```
BaHf2SiH
1.0
4.4896 0.0000 0.0000
0.0000 5.0225 0.0000
0.0000 0.0000 4.4896
H Hf Si Ba
1 2 1 1
Direct
0.0000 0.0000 0.0000
0.5000 0.0000 0.0000
0.0000 0.0000 0.5000
0.0000 0.5000 0.0000
0.5000 0.5000 0.5000
```

Results
The density of states at the Fermi level comes out at 4.94 states/eV/cell. The total DFT energy (no corrections) comes out at -5.73 eV/atom. Its space-group type is No. 123.

SrCaLa2: relaxed, PBE-GGA.

Cell and atoms, written as POSCAR:
```
SrCaLa2
1.0
-0.1504 -3.3652 1.9064
3.8190 -0.4311 -0.4598
1.7794 5.4166 9.7015
La Sr Ca
2 1 1
Direct
0.5000 0.5000 0.2257
0.0000 0.0000 0.0131
0.0000 0.0000 0.4937
0.5000 0.5000 0.7676
```

Results
The density of states at the Fermi level comes out at 4.75 states/eV/cell. The value obtained for the calculated formation energy is 1.01 kcal/mol of atoms. Its space-group type is No. 99. The energy above the lowest structure with this stoichiometry comes out at 0.000 eV per atom.

P2C: relaxed, PBE-GGA.

Cell and atoms, written as POSCAR:
```
P2C
1.0
-0.9531 2.2049 -2.9031
0.4979 -1.2152 -3.5318
-2.9829 -0.8741 -2.1299
P C
2 1
Direct
0.2500 0.2500 0.2500
0.7500 0.7500 0.7500
0.0000 0.0000 0.0000
```

Results
The density of states at the Fermi level comes out at 2.72 states/eV/cell. The value obtained for the calculated formation energy is 43.51 kcal/mol of atoms. Its space-group type is No. 225. The energy above the lowest structure with this stoichiometry comes out at 1.456 eV per atom.

Cd2GaAu2: relaxed, PBE-GGA.

Cell and atoms, written as POSCAR:
```
Cd2GaAu2
1.0
4.4822 0.0000 0.0000
2.2411 5.1061 0.2391
2.2411 1.1059 8.9823
Au Ga Cd
4 2 4
Direct
0.9681 0.1944 0.8694
0.1501 0.3150 0.3848
0.0319 0.8056 0.1306
0.8499 0.6850 0.6152
0.2077 0.9474 0.6372
0.7923 0.0526 0.3628
0.6671 0.7316 0.9342
0.3329 0.2684 0.0658
0.4961 0.3320 0.6757
0.5039 0.6680 0.3243
```

Results
The density of states at the Fermi level comes out at 2.85 states/eV/cell. The value obtained for the calculated formation energy is -3.52 kcal/mol of atoms. Its space-group type is No. 12. The energy above the lowest structure with this stoichiometry comes out at 0.008 eV per atom.

Y3Tm2Tl2: relaxed, PBE-GGA.

Cell and atoms, written as POSCAR:
```
Y3Tm2Tl2
1.0
5.3917 0.0010 -0.0007
-2.6950 4.6594 -0.2884
-0.0016 -2.6168 8.1630
Tl Y Tm
2 3 2
Direct
0.7839 0.5677 0.8512
0.2161 0.4323 0.1488
0.6542 0.3085 0.4629
0.3458 0.6915 0.5371
0.5000 0.0000 0.0000
0.0741 0.1482 0.7219
0.9259 0.8518 0.2781
```

Results
The density of states at the Fermi level comes out at 5.78 states/eV/cell. The value obtained for the calculated formation energy is -4.52 kcal/mol of atoms. Its space-group type is No. 166. The energy above the lowest structure with this stoichiometry comes out at 0.000 eV per atom.

Let's list total magnetization in order: 1.63 0.63 1.47 0.00 0.00 0.00 0.00 0.00 μB/f.u..